No. 1
Below is a relaxed structure of HfVCrPt2, with properties calculated at the GGA-PBE level.

Values from the calculation:
As for the total magnetization: 0.316 μB per atom. The calculation puts the total energy at -7.787 eV per atom. As for the space-group type: P4/mmm (123). Its density is 12.276 Mg/m³.

Cell lengths 4.744, 4.036, 4.744 Å; angles 90.00, 90.00, 90.00 degrees
Positions (direct):
Pt: 0.500 0.000 0.000
Pt: 0.000 0.000 0.500
Hf: 0.500 0.500 0.500
Cr: 0.000 0.500 0.000
V: 0.000 0.000 0.000


No. 2
Below is a relaxed structure of Ba4TeRu, with properties calculated at the GGA-PBE level.

Values from the calculation:
As for the total magnetization: 0.065 μB per atom. The calculation puts the total energy at -2.736 eV per atom. As for the space-group type: F-43m (216). Its uncorrected formation energy is 3.69 eV/f.u. Its density is 5.380 Mg/m³.

Cell lengths 6.977, 6.977, 6.977 Å; angles 60.00, 60.00, 60.00 degrees
Positions (direct):
Ba: 0.375 0.375 0.874
Ba: 0.874 0.375 0.375
Ba: 0.375 0.375 0.375
Ba: 0.375 0.874 0.375
Te: 0.000 0.000 0.000
Ru: 0.750 0.750 0.750


No. 3
Below is a relaxed structure of Na3Tl3Ag2, with properties calculated at the GGA-PBE level.

Values from the calculation:
As for the total magnetization: 0.000 μB per atom. The calculation puts the total energy at -2.122 eV per atom. As for the space-group type: P-62m (189). Its density is 7.173 Mg/m³.

Cell lengths 3.489, 8.294, 8.294 Å; angles 120.00, 90.00, 90.00 degrees
Positions (direct):
Na: 0.000 0.748 0.748
Na: 0.000 0.000 0.252
Na: 0.000 0.252 0.000
Tl: 0.500 0.392 0.392
Tl: 0.500 0.000 0.608
Tl: 0.500 0.608 0.000
Ag: 0.000 0.667 0.333
Ag: 0.000 0.333 0.667


No. 4
Below is a relaxed structure of Ba2SmIn12Pt3, with properties calculated at the GGA-PBE level.

Values from the calculation:
As for the total magnetization: 0.000 μB per atom. The calculation puts the total energy at -3.472 eV per atom. As for the space-group type: R-3m (166). Its density is 6.954 Mg/m³.

Cell lengths 8.887, 8.887, 8.887 Å; angles 66.94, 66.94, 66.94 degrees
Positions (direct):
In: 0.843 0.843 0.429
In: 0.157 0.571 0.157
In: 0.843 0.429 0.843
In: 0.274 0.876 0.274
In: 0.726 0.726 0.124
In: 0.274 0.274 0.876
In: 0.429 0.843 0.843
In: 0.876 0.274 0.274
In: 0.571 0.157 0.157
In: 0.157 0.157 0.571
In: 0.124 0.726 0.726
In: 0.726 0.124 0.726
Pt: 0.000 0.000 0.500
Pt: 0.000 0.500 0.000
Pt: 0.500 0.000 0.000
Ba: 0.585 0.585 0.585
Ba: 0.415 0.415 0.415
Sm: 0.000 0.000 0.000


No. 5
Below is a relaxed structure of Nd3Te2Ir, with properties calculated at the GGA-PBE level.

Values from the calculation:
As for the total magnetization: 0.000 μB per atom. The calculation puts the total energy at -6.041 eV per atom. As for the space-group type: C2/c (15). Its uncorrected formation energy is -6.80 eV/f.u. Its density is 7.973 Mg/m³.

Cell lengths 7.428, 7.692, 7.692 Å; angles 117.87, 99.82, 99.82 degrees
Positions (direct):
Nd: 0.000 0.500 0.000
Nd: 0.500 0.000 0.500
Nd: 0.006 0.226 0.365
Nd: 0.506 0.365 0.226
Nd: 0.494 0.635 0.774
Nd: 0.994 0.774 0.635
Te: 0.750 0.763 0.237
Te: 0.250 0.920 0.080
Te: 0.250 0.237 0.763
Te: 0.750 0.080 0.920
Ir: 0.250 0.591 0.409
Ir: 0.750 0.409 0.591


No. 6
Below is a relaxed structure of CePrSm2Bi5, with properties calculated at the GGA-PBE level.

Values from the calculation:
As for the total magnetization: 0.000 μB per atom. The calculation puts the total energy at -4.440 eV per atom. As for the space-group type: P4/mmm (123). Its density is 7.256 Mg/m³.

Cell lengths 5.546, 5.546, 12.103 Å; angles 90.00, 90.00, 90.00 degrees
Positions (direct):
Bi: 0.500 0.000 0.500
Bi: 0.000 0.000 0.751
Bi: 0.000 0.500 0.500
Bi: 0.000 0.000 0.249
Bi: 0.500 0.500 0.000
Sm: 0.500 0.500 0.270
Sm: 0.500 0.500 0.730
Ce: 0.000 0.000 0.500
Pr: 0.000 0.000 0.000


No. 7
Below is a relaxed structure of NaCaIO4, with properties calculated at the GGA-PBE level.

Values from the calculation:
As for the total magnetization: 0.000 μB per atom. The calculation puts the total energy at -4.909 eV per atom. As for the space-group type: Imma (74). Its uncorrected formation energy is -9.66 eV/f.u. Its density is 4.037 Mg/m³.

Cell lengths 7.148, 6.554, 6.554 Å; angles 61.78, 56.96, 56.96 degrees
Positions (direct):
Ca: 0.000 0.500 0.500
Ca: 0.000 0.000 0.000
O: 0.713 0.756 0.818
O: 0.763 0.265 0.765
O: 0.206 0.265 0.765
O: 0.237 0.735 0.235
O: 0.287 0.244 0.182
O: 0.287 0.682 0.744
O: 0.713 0.318 0.256
O: 0.794 0.735 0.235
I: 0.578 0.672 0.172
I: 0.422 0.328 0.828
Na: 0.500 0.000 0.500
Na: 0.000 0.000 0.500


No. 8
Below is a relaxed structure of HoAl2Pt, with properties calculated at the GGA-PBE level.

Values from the calculation:
As for the total magnetization: 0.000 μB per atom. The calculation puts the total energy at -5.352 eV per atom. As for the space-group type: R-3m (166). Its density is 8.746 Mg/m³.

Cell lengths 4.243, 4.243, 5.605 Å; angles 67.76, 67.76, 60.00 degrees
Positions (direct):
Pt: 0.000 0.000 0.000
Al: 0.288 0.288 0.136
Al: 0.712 0.712 0.864
Ho: 0.500 0.500 0.500